A plane-wave DFT calculation with meta-GGA SCAN was carried out for KIBrO2 at its PBEsol-relaxed geometry.

```
KIBrO2
1.0
-1.8713 2.2303 -3.1437
1.4970 -2.7998 -2.8774
-4.7872 -3.1739 0.5977
I Br O K
1 1 2 1
Cartesian
-2.3936 -1.5870 0.2989 I
0.0000 0.0000 0.0000 Br
0.7485 -1.3999 -1.4387 O
-0.9356 1.1152 -1.5719 O
-2.5807 -1.8717 -2.7117 K
```

Calculated values
energy relative to the elements, uncorrected	14.8	kJ/mol of atoms
size of the total moment	0.1	μB/cell